Crystalline Lu7Te2Ir2 at its relaxed geometry, computed with PBE.

E = -5.99 eV/atom

Cell: 3.878 15.344 9.328 Å, 90.00 90.00 90.00°
Space group Imm2 (No. 44)
Asymmetric unit:
Lu (0.000, 0.000, 0.000) x2
Lu (0.000, 0.133, 0.581) x4
Lu (0.000, 0.315, 0.369) x4
Lu (0.000, 0.354, 0.729) x4
Te (0.000, 0.000, 0.338) x2
Te (0.000, 0.500, 0.233) x2
Ir (0.000, 0.236, 0.069) x4